1.
DFT (GGA-PBE) results for an optimized crystal structure of Tc2SbIr.

## Properties
**Calculated total energy**: -33.04 eV/cell
**Symmetry**: Cm
**ΔE_f (raw)**: 0.1688 eV per atom
**ρ**: 13.2 g/cm3
**Size of the total moment**: 0.00 μB per atom

a = 4.8677 Å, b = 4.8677 Å, c = 4.7764 Å
α = 98.10°, β = 98.10°, γ = 34.99°
Atoms (fractional coordinates):
Tc1 0.0000 0.0000 0.0000
Tc2 0.7369 0.7369 0.2196
Sb1 0.4960 0.4960 0.4956
Ir1 0.2572 0.2572 0.7572



2.
DFT (GGA-PBE) results for an optimized crystal structure of Tc2SbIr.

## Properties
**Calculated total energy**: -32.92 eV/cell
**Symmetry**: C2/m
**ΔE_f (raw)**: 0.1988 eV per atom
**ρ**: 13.0 g/cm3
**Size of the total moment**: 0.00 μB per atom

a = 4.7857 Å, b = 4.7857 Å, c = 5.0291 Å
α = 102.30°, β = 102.30°, γ = 35.33°
Atoms (fractional coordinates):
Tc1 0.2492 0.2492 0.2192
Tc2 0.7508 0.7508 0.7808
Sb1 0.0000 0.0000 0.5000
Ir1 0.5000 0.5000 0.0000



3.
DFT (GGA-PBE) results for an optimized crystal structure of TcSb4Ir.

## Properties
**Calculated total energy**: -73.29 eV/cell
**Symmetry**: C2/c
**ΔE_f (raw)**: -0.1549 eV per atom
**ρ**: 9.5 g/cm3
**Size of the total moment**: 0.00 μB per atom
**E above lowest polymorph**: 0 meV per atom

a = 8.5446 Å, b = 8.5446 Å, c = 5.9963 Å
α = 110.46°, β = 110.46°, γ = 119.81°
Atoms (fractional coordinates):
Tc1 0.0473 0.9527 0.7500
Tc2 0.9527 0.0473 0.2500
Sb1 0.0037 0.6229 0.7558
Sb2 0.2498 0.3620 0.8647
Sb3 0.3620 0.2498 0.3647
Sb4 0.3771 0.9963 0.7442
Sb5 0.6229 0.0037 0.2558
Sb6 0.6380 0.7502 0.6353
Sb7 0.7502 0.6380 0.1353
Sb8 0.9963 0.3771 0.2442
Ir1 0.3000 0.7000 0.2500
Ir2 0.7000 0.3000 0.7500



4.
DFT (GGA-PBE) results for an optimized crystal structure of Tc2SbIr.

## Properties
**Calculated total energy**: -33.11 eV/cell
**Symmetry**: I-4m2
**ΔE_f (raw)**: 0.1505 eV per atom
**ρ**: 13.4 g/cm3
**Size of the total moment**: 0.00 μB per atom

a = 4.8463 Å, b = 4.8463 Å, c = 4.8463 Å
α = 131.09°, β = 131.09°, γ = 71.67°
Atoms (fractional coordinates):
Tc1 0.0000 0.0000 0.0000
Tc2 0.7500 0.2500 0.5000
Sb1 0.5000 0.5000 0.0000
Ir1 0.2500 0.7500 0.5000



5.
DFT (GGA-PBE) results for an optimized crystal structure of TcSb2Ir.

## Properties
**Calculated total energy**: -26.18 eV/cell
**Symmetry**: Imm2
**ΔE_f (raw)**: 0.3231 eV per atom
**ρ**: 11.7 g/cm3
**Size of the total moment**: 0.00 μB per atom
**E above lowest polymorph**: 193 meV per atom

a = 5.8261 Å, b = 5.8261 Å, c = 5.8261 Å
α = 146.36°, β = 135.85°, γ = 56.63°
Atoms (fractional coordinates):
Tc1 0.0000 0.0000 0.0000
Sb1 0.5079 0.5079 0.0000
Sb2 0.7801 0.2801 0.5000
Ir1 0.2923 0.7923 0.5000



6.
DFT (GGA-PBE) results for an optimized crystal structure of TcSbIr.

## Properties
**Calculated total energy**: -22.31 eV/cell
**Symmetry**: P3m1
**ΔE_f (raw)**: 0.3457 eV per atom
**ρ**: 13.5 g/cm3
**Size of the total moment**: 0.33 μB per atom
**E above lowest polymorph**: 88 meV per atom

a = 4.4420 Å, b = 4.4420 Å, c = 2.9750 Å
α = 90.00°, β = 90.00°, γ = 120.00°
Atoms (fractional coordinates):
Tc1 0.0000 0.0000 0.0000
Sb1 0.6667 0.3333 0.6612
Ir1 0.3333 0.6667 0.4795



7.
DFT (GGA-PBE) results for an optimized crystal structure of Tc2Sb2Ir.

## Properties
**Calculated total energy**: -71.66 eV/cell
**Symmetry**: P4/mbm
**ΔE_f (raw)**: 0.4019 eV per atom
**ρ**: 11.8 g/cm3
**Size of the total moment**: 0.04 μB per atom
**E above lowest polymorph**: 0 meV per atom

a = 7.3361 Å, b = 7.3361 Å, c = 3.2943 Å
α = 90.00°, β = 90.00°, γ = 90.00°
Atoms (fractional coordinates):
Tc1 0.1333 0.3667 0.0000
Tc2 0.3667 0.8667 0.0000
Tc3 0.6333 0.1333 0.0000
Tc4 0.8667 0.6333 0.0000
Sb1 0.1675 0.6675 0.5000
Sb2 0.3325 0.1675 0.5000
Sb3 0.6675 0.8325 0.5000
Sb4 0.8325 0.3325 0.5000
Ir1 0.0000 0.0000 0.0000
Ir2 0.5000 0.5000 0.0000



8.
DFT (GGA-PBE) results for an optimized crystal structure of TcSb2Ir.

## Properties
**Calculated total energy**: -26.35 eV/cell
**Symmetry**: Fm-3m
**ΔE_f (raw)**: 0.2798 eV per atom
**ρ**: 12.2 g/cm3
**Size of the total moment**: 0.25 μB per atom
**E above lowest polymorph**: 149 meV per atom

a = 4.6795 Å, b = 4.6795 Å, c = 4.6795 Å
α = 60.00°, β = 60.00°, γ = 60.00°
Atoms (fractional coordinates):
Tc1 0.0000 0.0000 0.0000
Sb1 0.2500 0.2500 0.2500
Sb2 0.7500 0.7500 0.7500
Ir1 0.5000 0.5000 0.5000



9.
DFT (GGA-PBE) results for an optimized crystal structure of Tc2Sb2Ir.

## Properties
**Calculated total energy**: -33.74 eV/cell
**Symmetry**: I4/mmm
**ΔE_f (raw)**: 0.8205 eV per atom
**ρ**: 10.7 g/cm3
**Size of the total moment**: 0.00 μB per atom
**E above lowest polymorph**: 419 meV per atom

a = 6.5171 Å, b = 6.5171 Å, c = 6.5171 Å
α = 143.43°, β = 143.43°, γ = 52.68°
Atoms (fractional coordinates):
Tc1 0.1003 0.1003 0.0000
Tc2 0.8997 0.8997 0.0000
Sb1 0.2500 0.7500 0.5000
Sb2 0.7500 0.2500 0.5000
Ir1 0.5000 0.5000 0.0000



10.
DFT (GGA-PBE) results for an optimized crystal structure of Tc2SbIr.

## Properties
**Calculated total energy**: -32.57 eV/cell
**Symmetry**: Cmmm
**ΔE_f (raw)**: 0.2866 eV per atom
**ρ**: 13.2 g/cm3
**Size of the total moment**: 0.00 μB per atom

a = 4.8749 Å, b = 4.8749 Å, c = 2.9228 Å
α = 90.00°, β = 90.00°, γ = 112.64°
Atoms (fractional coordinates):
Tc1 0.0000 0.5000 0.0000
Tc2 0.5000 0.0000 0.0000
Sb1 0.0000 0.0000 0.5000
Ir1 0.5000 0.5000 0.5000



11.
DFT (GGA-PBE) results for an optimized crystal structure of Tc2SbIr.

## Properties
**Calculated total energy**: -32.89 eV/cell
**Symmetry**: P4mm
**ΔE_f (raw)**: 0.2067 eV per atom
**ρ**: 13.1 g/cm3
**Size of the total moment**: 0.00 μB per atom

a = 2.9514 Å, b = 2.9514 Å, c = 7.4247 Å
α = 90.00°, β = 90.00°, γ = 90.00°
Atoms (fractional coordinates):
Tc1 0.0000 0.0000 0.0000
Tc2 0.5000 0.5000 0.2226
Sb1 0.5000 0.5000 0.7343
Ir1 0.0000 0.0000 0.4733



12.
DFT (GGA-PBE) results for an optimized crystal structure of TcSbIr.

## Properties
**Calculated total energy**: -22.31 eV/cell
**Symmetry**: Imm2
**ΔE_f (raw)**: 0.3453 eV per atom
**ρ**: 13.6 g/cm3
**Size of the total moment**: 0.00 μB per atom
**E above lowest polymorph**: 87 meV per atom

a = 4.8696 Å, b = 4.8696 Å, c = 4.8696 Å
α = 144.46°, β = 130.67°, γ = 62.26°
Atoms (fractional coordinates):
Tc1 0.0000 0.0000 0.0000
Sb1 0.3216 0.3216 0.0000
Ir1 0.6442 0.6442 0.0000



13.
DFT (GGA-PBE) results for an optimized crystal structure of Tc2SbIr.

## Properties
**Calculated total energy**: -32.56 eV/cell
**Symmetry**: P4/mmm
**ΔE_f (raw)**: 0.2893 eV per atom
**ρ**: 13.0 g/cm3
**Size of the total moment**: 0.72 μB per atom

a = 3.9289 Å, b = 3.9289 Å, c = 4.2079 Å
α = 90.00°, β = 90.00°, γ = 90.00°
Atoms (fractional coordinates):
Tc1 0.0000 0.5000 0.0000
Tc2 0.5000 0.0000 0.0000
Sb1 0.0000 0.0000 0.5000
Ir1 0.5000 0.5000 0.5000



14.
DFT (GGA-PBE) results for an optimized crystal structure of Tc2SbIr.

## Properties
**Calculated total energy**: -32.16 eV/cell
**Symmetry**: F-43m
**ΔE_f (raw)**: 0.3889 eV per atom
**ρ**: 13.0 g/cm3
**Size of the total moment**: 0.58 μB per atom

a = 4.5122 Å, b = 4.5122 Å, c = 4.5122 Å
α = 60.00°, β = 60.00°, γ = 60.00°
Atoms (fractional coordinates):
Tc1 0.0000 0.0000 0.0000
Tc2 0.2500 0.2500 0.2500
Sb1 0.5000 0.5000 0.5000
Ir1 0.7500 0.7500 0.7500



15.
DFT (GGA-PBE) results for an optimized crystal structure of Tc2SbIr.

## Properties
**Calculated total energy**: -32.75 eV/cell
**Symmetry**: P4/mmm
**ΔE_f (raw)**: 0.2419 eV per atom
**ρ**: 13.2 g/cm3
**Size of the total moment**: 0.00 μB per atom

a = 4.6133 Å, b = 4.6133 Å, c = 3.0037 Å
α = 90.00°, β = 90.00°, γ = 90.00°
Atoms (fractional coordinates):
Tc1 0.0000 0.5000 0.0000
Tc2 0.5000 0.0000 0.0000
Sb1 0.0000 0.0000 0.5000
Ir1 0.5000 0.5000 0.5000



16.
DFT (GGA-PBE) results for an optimized crystal structure of TcSb2Ir.

## Properties
**Calculated total energy**: -26.95 eV/cell
**Symmetry**: Cm
**ΔE_f (raw)**: 0.1306 eV per atom
**ρ**: 12.1 g/cm3
**Size of the total moment**: 0.00 μB per atom
**E above lowest polymorph**: 0 meV per atom

a = 5.0837 Å, b = 5.0837 Å, c = 4.6002 Å
α = 101.28°, β = 101.28°, γ = 39.01°
Atoms (fractional coordinates):
Tc1 0.0000 0.0000 0.0000
Sb1 0.4847 0.4847 0.4858
Sb2 0.7282 0.7282 0.0870
Ir1 0.2169 0.2169 0.5886



17.
DFT (GGA-PBE) results for an optimized crystal structure of TcSb2Ir.

## Properties
**Calculated total energy**: -26.93 eV/cell
**Symmetry**: P4mm
**ΔE_f (raw)**: 0.1344 eV per atom
**ρ**: 10.6 g/cm3
**Size of the total moment**: 0.00 μB per atom
**E above lowest polymorph**: 4 meV per atom

a = 3.0619 Å, b = 3.0619 Å, c = 8.8995 Å
α = 90.00°, β = 90.00°, γ = 90.00°
Atoms (fractional coordinates):
Tc1 0.0000 0.0000 0.0000
Sb1 0.0000 0.0000 0.3986
Sb2 0.5000 0.5000 0.7952
Ir1 0.5000 0.5000 0.1927



18.
DFT (GGA-PBE) results for an optimized crystal structure of Tc2SbIr.

## Properties
**Calculated total energy**: -60.47 eV/cell
**Symmetry**: I-42d
**ΔE_f (raw)**: 0.8700 eV per atom
**ρ**: 8.8 g/cm3
**Size of the total moment**: 0.00 μB per atom

a = 7.0679 Å, b = 7.0679 Å, c = 7.0679 Å
α = 131.83°, β = 131.83°, γ = 70.49°
Atoms (fractional coordinates):
Tc1 0.0897 0.6250 0.9647
Tc2 0.3750 0.3397 0.4647
Tc3 0.6603 0.1250 0.0353
Tc4 0.8750 0.9103 0.5353
Sb1 0.2500 0.7500 0.5000
Sb2 0.5000 0.5000 0.0000
Ir1 0.0000 0.0000 0.0000
Ir2 0.7500 0.2500 0.5000



19.
DFT (GGA-PBE) results for an optimized crystal structure of Tc2SbIr.

## Properties
**Calculated total energy**: -32.44 eV/cell
**Symmetry**: Immm
**ΔE_f (raw)**: 0.3195 eV per atom
**ρ**: 13.1 g/cm3
**Size of the total moment**: 0.00 μB per atom

a = 5.3441 Å, b = 5.3441 Å, c = 5.3441 Å
α = 146.09°, β = 129.92°, γ = 61.86°
Atoms (fractional coordinates):
Tc1 0.2279 0.2279 0.0000
Tc2 0.7721 0.7721 0.0000
Sb1 0.0000 0.5000 0.5000
Ir1 0.5000 0.0000 0.5000



20.
DFT (GGA-PBE) results for an optimized crystal structure of Tc2SbIr.

## Properties
**Calculated total energy**: -33.03 eV/cell
**Symmetry**: I4/mmm
**ΔE_f (raw)**: 0.1710 eV per atom
**ρ**: 13.4 g/cm3
**Size of the total moment**: 0.00 μB per atom

a = 4.8823 Å, b = 4.8823 Å, c = 4.8823 Å
α = 131.83°, β = 131.83°, γ = 70.49°
Atoms (fractional coordinates):
Tc1 0.2500 0.7500 0.5000
Tc2 0.7500 0.2500 0.5000
Sb1 0.0000 0.0000 0.0000
Ir1 0.5000 0.5000 0.0000



21.
DFT (GGA-PBE) results for an optimized crystal structure of TcSb2Ir.

## Properties
**Calculated total energy**: -26.91 eV/cell
**Symmetry**: Pmm2
**ΔE_f (raw)**: 0.1416 eV per atom
**ρ**: 11.9 g/cm3
**Size of the total moment**: 0.00 μB per atom
**E above lowest polymorph**: 11 meV per atom

a = 3.2924 Å, b = 4.0853 Å, c = 5.5367 Å
α = 90.00°, β = 90.00°, γ = 90.00°
Atoms (fractional coordinates):
Tc1 0.0000 0.0000 0.0000
Sb1 0.0000 0.0000 0.4931
Sb2 0.5000 0.5000 0.8553
Ir1 0.5000 0.5000 0.3474



22.
DFT (GGA-PBE) results for an optimized crystal structure of TcSb2Ir.

## Properties
**Calculated total energy**: -26.55 eV/cell
**Symmetry**: R-3m
**ΔE_f (raw)**: 0.2316 eV per atom
**ρ**: 12.0 g/cm3
**Size of the total moment**: 0.00 μB per atom
**E above lowest polymorph**: 101 meV per atom

a = 8.4373 Å, b = 8.4373 Å, c = 8.4373 Å
α = 21.98°, β = 21.98°, γ = 21.98°
Atoms (fractional coordinates):
Tc1 0.0000 0.0000 0.0000
Sb1 0.2512 0.2512 0.2512
Sb2 0.7488 0.7488 0.7488
Ir1 0.5000 0.5000 0.5000



23.
DFT (GGA-PBE) results for an optimized crystal structure of TcSbIr4.

## Properties
**Calculated total energy**: -46.42 eV/cell
**Symmetry**: F-43m
**ΔE_f (raw)**: 0.5855 eV per atom
**ρ**: 16.1 g/cm3
**Size of the total moment**: 0.58 μB per atom

a = 5.2460 Å, b = 5.2460 Å, c = 5.2460 Å
α = 60.00°, β = 60.00°, γ = 60.00°
Atoms (fractional coordinates):
Tc1 0.0000 0.0000 0.0000
Sb1 0.2500 0.2500 0.2500
Ir1 0.1231 0.6256 0.6256
Ir2 0.6256 0.1231 0.6256
Ir3 0.6256 0.6256 0.1231
Ir4 0.6256 0.6256 0.6256



24.
DFT (GGA-PBE) results for an optimized crystal structure of Tc2SbIr.

## Properties
**Calculated total energy**: -32.45 eV/cell
**Symmetry**: R-3m
**ΔE_f (raw)**: 0.3176 eV per atom
**ρ**: 13.1 g/cm3
**Size of the total moment**: 0.00 μB per atom

a = 8.8662 Å, b = 8.8662 Å, c = 8.8662 Å
α = 19.00°, β = 19.00°, γ = 19.00°
Atoms (fractional coordinates):
Tc1 0.2486 0.2486 0.2486
Tc2 0.7514 0.7514 0.7514
Sb1 0.0000 0.0000 0.0000
Ir1 0.5000 0.5000 0.5000



25.
DFT (GGA-PBE) results for an optimized crystal structure of Tc2SbIr.

## Properties
**Calculated total energy**: -32.77 eV/cell
**Symmetry**: P2/m
**ΔE_f (raw)**: 0.2373 eV per atom
**ρ**: 12.9 g/cm3
**Size of the total moment**: 0.00 μB per atom

a = 2.8681 Å, b = 4.0734 Å, c = 5.6863 Å
α = 90.00°, β = 99.81°, γ = 90.00°
Atoms (fractional coordinates):
Tc1 0.0819 0.0000 0.2241
Tc2 0.9181 0.0000 0.7759
Sb1 0.5000 0.5000 0.5000
Ir1 0.5000 0.5000 0.0000



26.
DFT (GGA-PBE) results for an optimized crystal structure of TcSb2Ir.

## Properties
**Calculated total energy**: -26.64 eV/cell
**Symmetry**: Pmmm
**ΔE_f (raw)**: 0.2087 eV per atom
**ρ**: 12.4 g/cm3
**Size of the total moment**: 0.00 μB per atom
**E above lowest polymorph**: 78 meV per atom

a = 3.3416 Å, b = 3.3554 Å, c = 6.3827 Å
α = 90.00°, β = 90.00°, γ = 90.00°
Atoms (fractional coordinates):
Tc1 0.0000 0.0000 0.0000
Sb1 0.5000 0.5000 0.2489
Sb2 0.5000 0.5000 0.7511
Ir1 0.0000 0.0000 0.5000



27.
DFT (GGA-PBE) results for an optimized crystal structure of TcSb4Ir.

## Properties
**Calculated total energy**: -27.74 eV/cell
**Symmetry**: F-43m
**ΔE_f (raw)**: 1.3290 eV per atom
**ρ**: 8.8 g/cm3
**Size of the total moment**: 0.39 μB per atom
**E above lowest polymorph**: 1484 meV per atom

a = 5.9217 Å, b = 5.9217 Å, c = 5.9217 Å
α = 60.00°, β = 60.00°, γ = 60.00°
Atoms (fractional coordinates):
Tc1 0.0000 0.0000 0.0000
Sb1 0.3752 0.3752 0.3752
Sb2 0.3752 0.3752 0.8744
Sb3 0.3752 0.8744 0.3752
Sb4 0.8744 0.3752 0.3752
Ir1 0.7500 0.7500 0.7500



28.
DFT (GGA-PBE) results for an optimized crystal structure of TcSb2Ir.

## Properties
**Calculated total energy**: -50.62 eV/cell
**Symmetry**: I-42d
**ΔE_f (raw)**: 0.5399 eV per atom
**ρ**: 8.4 g/cm3
**Size of the total moment**: 0.00 μB per atom
**E above lowest polymorph**: 409 meV per atom

a = 7.2535 Å, b = 7.2535 Å, c = 7.2535 Å
α = 131.42°, β = 131.42°, γ = 71.14°
Atoms (fractional coordinates):
Tc1 0.0000 0.0000 0.0000
Tc2 0.7500 0.2500 0.5000
Sb1 0.1270 0.6250 0.0020
Sb2 0.3750 0.3770 0.5020
Sb3 0.6230 0.1250 0.9980
Sb4 0.8750 0.8730 0.4980
Ir1 0.2500 0.7500 0.5000
Ir2 0.5000 0.5000 0.0000



29.
DFT (GGA-PBE) results for an optimized crystal structure of Tc2SbIr.

## Properties
**Calculated total energy**: -32.97 eV/cell
**Symmetry**: Pm
**ΔE_f (raw)**: 0.1872 eV per atom
**ρ**: 13.1 g/cm3
**Size of the total moment**: 0.00 μB per atom

a = 2.8750 Å, b = 4.1642 Å, c = 5.5856 Å
α = 90.00°, β = 104.81°, γ = 90.00°
Atoms (fractional coordinates):
Tc1 0.0000 0.0000 0.0000
Tc2 0.3701 0.5000 0.7404
Sb1 0.7565 0.0000 0.5118
Ir1 0.6100 0.5000 0.2206